# 1
A relaxed RbNa2TlBr6 crystal. Source: Alexandria, functional PBE.

Cell: 7.6240 7.6240 21.0087 Å, 90.00 90.00 120.00°
Closest atoms and distances in Å follow each position.
Space group R3 (No. 146, hexagonal axes)
Unique sites:
Rb 0.0000 0.0000 0.0000  6 Br 3.34-3.63
Na 0.0000 0.0000 0.2829  6 Br 3.03-3.10
Na 0.0000 0.0000 0.8007  6 Br 2.95-3.08
Tl 0.0000 0.0000 0.4752  6 Br 2.82-2.84
Br 0.0047 0.3160 0.5460  1 Tl 2.82, 2 Na 3.03-3.08
Br 0.0213 0.5997 0.0550  1 Tl 2.84, 2 Na 2.95-3.10

Computed properties:
For the raw formation energy, the calculation gives -1146 meV/atom.

# 2
A relaxed SmY2Si2 crystal. Source: Alexandria, functional PBE.

Cell: 4.3752 6.3777 8.7019 Å, 90.00 90.00 90.00°
Closest atoms and distances in Å follow each position.
Space group Immm (No. 71)
Unique sites:
Sm 0.0000 0.0000 0.0000  4 Si 2.93
Y 0.0000 0.5000 0.1987  6 Si 3.05-3.27
Si 0.0000 0.1933 0.5000  1 Si 2.47

Computed properties:
For the raw formation energy, the calculation gives -621 meV/atom.

> Among the records above, which one has the lowest raw formation energy?

RbNa2TlBr6

What did the second record say?
A relaxed SmY2Si2 crystal. Source: Alexandria, functional PBE.

Cell: 4.3752 6.3777 8.7019 Å, 90.00 90.00 90.00°
Closest atoms and distances in Å follow each position.
Space group Immm (No. 71)
Unique sites:
Sm 0.0000 0.0000 0.0000  4 Si 2.93
Y 0.0000 0.5000 0.1987  6 Si 3.05-3.27
Si 0.0000 0.1933 0.5000  1 Si 2.47

Computed properties:
For the raw formation energy, the calculation gives -621 meV/atom.

Please write out number 2 again, unchanged.
A relaxed SmY2Si2 crystal. Source: Alexandria, functional PBE.

Cell: 4.3752 6.3777 8.7019 Å, 90.00 90.00 90.00°
Closest atoms and distances in Å follow each position.
Space group Immm (No. 71)
Unique sites:
Sm 0.0000 0.0000 0.0000  4 Si 2.93
Y 0.0000 0.5000 0.1987  6 Si 3.05-3.27
Si 0.0000 0.1933 0.5000  1 Si 2.47

Computed properties:
For the raw formation energy, the calculation gives -621 meV/atom.

> The highest raw formation energy belongs to which entry?

SmY2Si2